The following is a DFT calculation (PBE with a Hubbard U) of a relaxed structure of LaMnO3.

## Properties
Density of states at the Fermi level = 3.94 states/eV per cell
Spin magnetization = 4.000 μB/f.u.
E = -7.7226 eV/atom
Space-group type = No. 167

Unit cell a=6.550 b=6.550 c=6.550 alpha=52.87 beta=52.87 gamma=52.87
Atoms (fractional coordinates):
O 0.570 0.250 0.930
O 0.430 0.750 0.070
O 0.070 0.430 0.750
O 0.250 0.930 0.570
O 0.930 0.570 0.250
O 0.750 0.070 0.430
Mn 0.250 0.250 0.250
Mn 0.750 0.750 0.750
La 0.000 0.000 0.000
La 0.500 0.500 0.500